# LaPrPCl

A relaxed LaPrPCl crystal (PBE, Alexandria via LeMat-Bulk).

Values from the calculation:
Energy   -5.8724 eV/atom
Raw formation energy   -6.53 eV/f.u.
ρ   5.30 g/cm³
Symmetry   R3m (160)
DOS at the Fermi energy   1.5 states/eV per cell

Cell: 4.1076 4.1091 7.7879 Å, 90.00 105.27 120.01°
Last column: nearest neighbours and their distance in Å.
Fractional positions:
La 0.4942 0.1450 0.6548  3 P 2.87
Pr 0.1123 0.9541 0.0815  3 P 2.83, 3 Cl 3.15
P 0.3065 0.5512 0.8730  3 Pr 2.83, 3 La 2.87
Cl 0.9649 0.3805 0.3604  3 Pr 3.15, 3 La 3.22



# La2PrP2Cl2

A relaxed La2PrP2Cl2 crystal (PBE, Alexandria via LeMat-Bulk).

Values from the calculation:
Energy   -5.6281 eV/atom
Raw formation energy   -10.25 eV/f.u.
ρ   4.16 g/cm³
Symmetry   I4/mmm (139)
DOS at the Fermi energy   3.9 states/eV per cell

Cell: 5.5218 5.5218 8.2049 Å, 109.66 109.66 90.00°
Last column: nearest neighbours and their distance in Å.
Fractional positions:
La 0.3970 0.3970 0.7940  1 Cl 2.77, 1 La 2.97
La 0.6030 0.6030 0.2060  1 Cl 2.77, 1 La 2.97
Pr 0.0000 0.0000 0.0000  4 P 2.76, 2 Cl 2.95
P 0.0000 0.5000 0.0000  2 Pr 2.76
P 0.5000 0.0000 0.0000  2 Pr 2.76
Cl 0.2047 0.2047 0.4095  1 La 2.77, 1 Pr 2.95
Cl 0.7953 0.7953 0.5905  1 La 2.77, 1 Pr 2.95



# LaP2PtCl

A relaxed LaP2PtCl crystal (PBE, Alexandria via LeMat-Bulk).

Values from the calculation:
Energy   -5.2132 eV/atom
Raw formation energy   -2.43 eV/f.u.
ρ   6.48 g/cm³
Symmetry   P4/mmm (123)
DOS at the Fermi energy   2.9 states/eV per cell

Cell: 4.7263 4.7263 4.9473 Å, 90.00 90.00 90.00°
Last column: nearest neighbours and their distance in Å.
Fractional positions:
P 0.0000 0.5000 0.0000  2 Pt 2.36
P 0.5000 0.0000 0.0000  2 Pt 2.36
Cl 0.0000 0.0000 0.5000  2 Pt 2.47
Pt 0.0000 0.0000 0.0000  4 P 2.36, 2 Cl 2.47
La 0.5000 0.5000 0.5000  4 Cl 3.34, 8 P 3.42



# LaPPtCl2

A relaxed LaPPtCl2 crystal (PBE, Alexandria via LeMat-Bulk).

Values from the calculation:
Energy   -4.0715 eV/atom
Raw formation energy   -0.29 eV/f.u.
ρ   4.24 g/cm³
Symmetry   P4/mmm (123)
DOS at the Fermi energy   6.5 states/eV per cell

Cell: 5.3101 5.3101 6.0603 Å, 90.00 90.00 90.00°
Last column: nearest neighbours and their distance in Å.
Fractional positions:
P 0.0000 0.0000 0.5000  2 La 3.03
Cl 0.0000 0.5000 0.0000  2 La 2.66
Cl 0.5000 0.0000 0.0000  2 La 2.66
Pt 0.5000 0.5000 0.5000  4 P 3.75, 8 Cl 4.03
La 0.0000 0.0000 0.0000  4 Cl 2.66



# La6P2PtCl3

A relaxed La6P2PtCl3 crystal (PBE, Alexandria via LeMat-Bulk).

Values from the calculation:
Energy   -5.9298 eV/atom
Raw formation energy   -19.19 eV/f.u.
ρ   6.04 g/cm³
Symmetry   C2/m (12)
DOS at the Fermi energy   7.8 states/eV per cell

Cell: 4.1606 8.6453 9.5956 Å, 102.27 102.52 90.00°
Last column: nearest neighbours and their distance in Å.
Fractional positions:
La 0.3305 0.9030 0.6611  2 P 2.92, 3 Cl 3.09-3.12, 1 Pt 3.10
La 0.6730 0.5686 0.3461  3 P 2.90, 3 Cl 3.08-3.17
La 0.6695 0.0970 0.3389  2 P 2.92, 3 Cl 3.09-3.12, 1 Pt 3.10
La 0.0079 0.2310 0.0159  2 Pt 2.86, 1 P 2.95, 3 Cl 3.11-3.15
La 0.9921 0.7690 0.9841  2 Pt 2.86, 1 P 2.95, 3 Cl 3.11-3.15
La 0.3270 0.4314 0.6539  3 P 2.90, 3 Cl 3.08-3.17
P 0.8315 0.6672 0.6629  6 La 2.90-2.95
P 0.1685 0.3328 0.3371  6 La 2.90-2.95
Pt 0.5000 0.0000 0.0000  6 La 2.86-3.10
Cl 0.5000 0.5000 0.0000  6 La 3.15-3.17
Cl 0.8382 0.1758 0.6764  6 La 3.08-3.12
Cl 0.1618 0.8242 0.3236  6 La 3.08-3.12



# LaPPtCl2

A relaxed LaPPtCl2 crystal (PBE, Alexandria via LeMat-Bulk).

Values from the calculation:
Energy   -4.6980 eV/atom
Raw formation energy   -3.42 eV/f.u.
ρ   6.32 g/cm³
Symmetry   P4/mmm (123)
DOS at the Fermi energy   1.7 states/eV per cell

Cell: 4.7986 4.7986 4.9741 Å, 90.00 90.00 90.00°
Last column: nearest neighbours and their distance in Å.
Fractional positions:
P 0.0000 0.0000 0.5000  2 Pt 2.49
Cl 0.0000 0.5000 0.0000  2 Pt 2.40
Cl 0.5000 0.0000 0.0000  2 Pt 2.40
Pt 0.0000 0.0000 0.0000  4 Cl 2.40, 2 P 2.49
La 0.5000 0.5000 0.5000  4 P 3.39, 8 Cl 3.46



# LaP2PtCl

A relaxed LaP2PtCl crystal (PBE, Alexandria via LeMat-Bulk).

Values from the calculation:
Energy   -3.9526 eV/atom
Raw formation energy   3.87 eV/f.u.
ρ   4.33 g/cm³
Symmetry   P4/mmm (123)
DOS at the Fermi energy   6.9 states/eV per cell

Cell: 5.6137 5.6137 5.2454 Å, 90.00 90.00 90.00°
Last column: nearest neighbours and their distance in Å.
Fractional positions:
P 0.0000 0.5000 0.0000  2 La 2.81
P 0.5000 0.0000 0.0000  2 La 2.81
Cl 0.0000 0.0000 0.5000  2 La 2.62
Pt 0.5000 0.5000 0.5000  8 P 3.84, 4 Cl 3.97
La 0.0000 0.0000 0.0000  2 Cl 2.62, 4 P 2.81



# La6PPt2Cl3

A relaxed La6PPt2Cl3 crystal (PBE, Alexandria via LeMat-Bulk).

Values from the calculation:
Energy   -5.8724 eV/atom
Raw formation energy   -17.87 eV/f.u.
ρ   6.71 g/cm³
Symmetry   C2/m (12)
DOS at the Fermi energy   9.5 states/eV per cell

Cell: 7.4097 7.4097 7.4911 Å, 99.59 99.59 119.82°
Last column: nearest neighbours and their distance in Å.
Fractional positions:
La 0.9228 0.5873 0.7721  2 Pt 2.93-2.94, 1 P 2.96, 3 Cl 3.13-3.18
La 0.7384 0.7384 0.2224  2 Pt 2.93, 1 P 2.95, 3 Cl 3.09-3.15
La 0.0772 0.4127 0.2279  2 Pt 2.93-2.94, 1 P 2.96, 3 Cl 3.13-3.18
La 0.5873 0.9228 0.7721  2 Pt 2.93-2.94, 1 P 2.96, 3 Cl 3.13-3.18
La 0.2616 0.2616 0.7776  2 Pt 2.93, 1 P 2.95, 3 Cl 3.09-3.15
La 0.4127 0.0772 0.2279  2 Pt 2.93-2.94, 1 P 2.96, 3 Cl 3.13-3.18
P 0.0000 0.0000 0.0000  6 La 2.95-2.96
Pt 0.3320 0.6680 0.0000  6 La 2.93-2.94
Pt 0.6680 0.3320 0.0000  6 La 2.93-2.94
Cl 0.1588 0.8412 0.5000  6 La 3.09-3.18
Cl 0.8412 0.1588 0.5000  6 La 3.09-3.18
Cl 0.5000 0.5000 0.5000  6 La 3.13-3.15



# La4PPtCl2

A relaxed La4PPtCl2 crystal (PBE, Alexandria via LeMat-Bulk).

Values from the calculation:
Energy   -5.8986 eV/atom
Raw formation energy   -12.34 eV/f.u.
ρ   6.45 g/cm³
Symmetry   P2/m (10)
DOS at the Fermi energy   6.4 states/eV per cell

Cell: 4.1658 7.3450 7.5861 Å, 71.13 90.00 90.00°
Last column: nearest neighbours and their distance in Å.
Fractional positions:
La 0.0000 0.7261 0.7602  2 Pt 2.91, 1 P 2.96, 3 Cl 3.12
La 0.0000 0.2739 0.2398  2 Pt 2.91, 1 P 2.96, 3 Cl 3.12
La 0.5000 0.7335 0.2632  2 P 2.92, 1 Pt 3.02, 3 Cl 3.05-3.10
La 0.5000 0.2665 0.7368  2 P 2.92, 1 Pt 3.02, 3 Cl 3.05-3.10
P 0.0000 0.5000 0.5000  6 La 2.92-2.96
Pt 0.5000 0.5000 0.0000  6 La 2.91-3.02
Cl 0.0000 0.0000 0.0000  6 La 3.10-3.12
Cl 0.5000 0.0000 0.5000  6 La 3.05-3.12



# LaPuPCl

A relaxed LaPuPCl crystal (PBE, Alexandria via LeMat-Bulk).

Values from the calculation:
Energy   -7.9620 eV/atom
Raw formation energy   -5.33 eV/f.u.
ρ   7.45 g/cm³
Symmetry   R-3m (166)
DOS at the Fermi energy   6.2 states/eV per cell

Cell: 3.9160 3.9160 15.2586 Å, 82.63 82.63 60.00°
Last column: nearest neighbours and their distance in Å.
Fractional positions:
La 0.5873 0.5873 0.2381  3 P 2.86, 3 Cl 2.91
La 0.4127 0.4127 0.7619  3 P 2.86, 3 Cl 2.91
Pu 0.8220 0.8220 0.5340  3 Pu 2.48, 1 P 2.71
Pu 0.1780 0.1780 0.4660  3 Pu 2.48, 1 P 2.71
P 0.1181 0.1181 0.6457  4 Pu 2.71-2.82, 3 La 2.86
P 0.8819 0.8819 0.3543  4 Pu 2.71-2.82, 3 La 2.86
Cl 0.7055 0.7055 0.8834  3 La 2.91
Cl 0.2945 0.2945 0.1166  3 La 2.91



# RbLaPCl2

A relaxed RbLaPCl2 crystal (PBE, Alexandria via LeMat-Bulk).

Values from the calculation:
Energy   -3.4012 eV/atom
Raw formation energy   -2.01 eV/f.u.
ρ   3.24 g/cm³
Symmetry   P4/mmm (123)
DOS at the Fermi energy   2.8 states/eV per cell

Cell: 5.4481 5.4481 5.6392 Å, 90.00 90.00 90.00°
Last column: nearest neighbours and their distance in Å.
Fractional positions:
P 0.0000 0.0000 0.5000  2 Rb 2.82
Cl 0.0000 0.5000 0.0000  2 Rb 2.72
Cl 0.5000 0.0000 0.0000  2 Rb 2.72
Rb 0.0000 0.0000 0.0000  4 Cl 2.72, 2 P 2.82
La 0.5000 0.5000 0.5000  4 P 3.85, 8 Cl 3.92



# RbLaPCl2

A relaxed RbLaPCl2 crystal (PBE, Alexandria via LeMat-Bulk).

Values from the calculation:
Energy   -4.4231 eV/atom
Raw formation energy   -7.12 eV/f.u.
ρ   3.00 g/cm³
Symmetry   P4/mmm (123)
DOS at the Fermi energy   5.7 states/eV per cell

Cell: 5.6882 5.6882 5.5903 Å, 90.00 90.00 90.00°
Last column: nearest neighbours and their distance in Å.
Fractional positions:
P 0.0000 0.0000 0.5000  2 La 2.80
Cl 0.0000 0.5000 0.0000  2 La 2.84
Cl 0.5000 0.0000 0.0000  2 La 2.84
Rb 0.5000 0.5000 0.5000  8 Cl 3.99, 4 P 4.02
La 0.0000 0.0000 0.0000  2 P 2.80, 4 Cl 2.84